# Tb2YZnC

A relaxed Tb2YZnC crystal (PBE, Alexandria via LeMat-Bulk).

Output
As for the density of states at the Fermi level: 6.6 states/eV/f.u. For the total DFT energy (no corrections), the calculation gives -5.464 eV per atom.

abc: 4.922 4.922 4.868
angles: 90.00 90.00 90.00
Sites, in units of the cell vectors:
1 Tb 0.500 0.000 0.000
2 Y 0.000 0.000 0.500
3 C 0.000 0.000 0.000
4 Tb 0.000 0.500 0.000
5 Zn 0.500 0.500 0.500